Entry 1:
A relaxed structure of ScSi2Sb, computed with PBE.

Summary:
E = -5.452 eV per atom
Crystal system = monoclinic
Raw formation energy = -0.13 eV per atom

a = 3.7609 Å, b = 3.8124 Å, c = 5.8736 Å
α = 90.00°, β = 105.11°, γ = 90.00°
Sites, in units of the cell vectors:
Sc (0.0000, 0.0000, 0.0000)
Si (0.4553, 0.5000, 0.7961)
Si (0.5447, 0.5000, 0.2039)
Sb (0.0000, 0.0000, 0.5000)

---

Entry 2:
A relaxed structure of ScSiSb, computed with PBE.

Summary:
E = -5.103 eV per atom
Crystal system = cubic
Polymorph energy (0 for the lowest one) = 697 meV per atom
Raw formation energy = 0.19 eV per atom

a = 6.7907 Å, b = 6.7907 Å, c = 6.7907 Å
α = 90.00°, β = 90.00°, γ = 90.00°
Sites, in units of the cell vectors:
Sc (0.0000, 0.0000, 0.0000)
Sc (0.0000, 0.5000, 0.5000)
Sc (0.5000, 0.0000, 0.5000)
Sc (0.5000, 0.5000, 0.0000)
Si (0.0000, 0.0000, 0.5000)
Si (0.0000, 0.5000, 0.0000)
Si (0.5000, 0.0000, 0.0000)
Si (0.5000, 0.5000, 0.5000)
Sb (0.2500, 0.2500, 0.2500)
Sb (0.2500, 0.7500, 0.7500)
Sb (0.7500, 0.2500, 0.7500)
Sb (0.7500, 0.7500, 0.2500)

---

no.,total magnetic moment (μB/f.u.)
1,0.000
2,0.000